Entry 1:
! Dy3Bi2N, relaxed, DFT PBE; values from VASP
! total energy = -5.89 eV/atom
&SYSTEM
  ibrav = 0, nat = 6, ntyp = 3
/
ATOMIC_SPECIES
Dy 162.50 Dy.upf
Bi 208.98 Bi.upf
N 14.01 N.upf
CELL_PARAMETERS angstrom
3.925 0.000 0.000
-1.962 3.399 0.000
0.000 0.000 10.976
ATOMIC_POSITIONS crystal
Dy 0.000 0.000 0.000
Dy 0.333 0.667 0.614
Dy 0.667 0.333 0.386
Bi 0.333 0.667 0.189
Bi 0.667 0.333 0.811
N 0.000 0.000 0.500

Entry 2:
! NaDyBi, relaxed, DFT PBE; values from VASP
! total energy = -3.45 eV/atom
&SYSTEM
  ibrav = 0, nat = 12, ntyp = 3
/
ATOMIC_SPECIES
Na 22.99 Na.upf
Dy 162.50 Dy.upf
Bi 208.98 Bi.upf
CELL_PARAMETERS angstrom
7.349 0.000 0.000
0.000 7.349 0.000
0.000 0.000 7.349
ATOMIC_POSITIONS crystal
Na 0.000 0.000 0.000
Na 0.000 0.500 0.500
Na 0.500 0.000 0.500
Na 0.500 0.500 0.000
Dy 0.250 0.250 0.750
Dy 0.250 0.750 0.250
Dy 0.750 0.250 0.250
Dy 0.750 0.750 0.750
Bi 0.000 0.000 0.500
Bi 0.000 0.500 0.000
Bi 0.500 0.000 0.000
Bi 0.500 0.500 0.500

Entry 3:
! NaDyBi, relaxed, DFT PBE; values from VASP
! total energy = -3.64 eV/atom
&SYSTEM
  ibrav = 0, nat = 12, ntyp = 3
/
ATOMIC_SPECIES
Na 22.99 Na.upf
Dy 162.50 Dy.upf
Bi 208.98 Bi.upf
CELL_PARAMETERS angstrom
7.294 0.000 0.000
0.000 7.294 0.000
0.000 0.000 7.294
ATOMIC_POSITIONS crystal
Na 0.000 0.000 0.000
Na 0.000 0.500 0.500
Na 0.500 0.000 0.500
Na 0.500 0.500 0.000
Dy 0.000 0.000 0.500
Dy 0.000 0.500 0.000
Dy 0.500 0.000 0.000
Dy 0.500 0.500 0.500
Bi 0.250 0.250 0.750
Bi 0.250 0.750 0.250
Bi 0.750 0.250 0.250
Bi 0.750 0.750 0.750